SrPmFe: relaxed, PBE.

Properties
space group: F-43m
E_tot: -3.813 eV per atom

a = 5.040 Å, b = 5.040 Å, c = 5.040 Å
α = 60.00°, β = 60.00°, γ = 60.00°
Atoms (fractional coordinates):
Sr 0.000 0.000 0.000
Pm 0.750 0.750 0.750
Fe 0.500 0.500 0.500


PmFeTe: relaxed, PBE.

Properties
space group: F-43m
E above lowest polymorph: 0.000 eV/atom
E_tot: -5.362 eV per atom

a = 4.824 Å, b = 4.824 Å, c = 4.824 Å
α = 60.00°, β = 60.00°, γ = 60.00°
Atoms (fractional coordinates):
Pm 0.000 0.000 0.000
Fe 0.500 0.500 0.500
Te 0.750 0.750 0.750


PmFeTe: relaxed, PBE.

Properties
space group: F-43m
E above lowest polymorph: 0.128 eV/atom
E_tot: -5.235 eV per atom

a = 5.029 Å, b = 5.029 Å, c = 5.029 Å
α = 60.00°, β = 60.00°, γ = 60.00°
Atoms (fractional coordinates):
Pm 0.000 0.000 0.000
Fe 0.750 0.750 0.750
Te 0.250 0.250 0.250


PmTh3Fe4: relaxed, PBE.

Properties
space group: Immm
ΔH_f (0 K): 247.1 meV/atom
E_tot: -7.280 eV per atom

a = 8.472 Å, b = 8.472 Å, c = 8.472 Å
α = 151.86°, β = 142.15°, γ = 47.83°
Atoms (fractional coordinates):
Pm 0.000 0.000 0.000
Th 0.198 0.698 0.500
Th 0.500 0.500 0.000
Th 0.802 0.302 0.500
Fe 0.169 0.868 0.301
Fe 0.433 0.132 0.301
Fe 0.567 0.868 0.699
Fe 0.831 0.132 0.699


PmTmFe: relaxed, PBE.

Properties
space group: F-43m
ΔH_f (0 K): 226.4 meV/atom
E above lowest polymorph: 0.000 eV/atom
E_tot: -5.617 eV per atom

a = 4.693 Å, b = 4.693 Å, c = 4.693 Å
α = 60.00°, β = 60.00°, γ = 60.00°
Atoms (fractional coordinates):
Pm 0.000 0.000 0.000
Tm 0.500 0.500 0.500
Fe 0.250 0.250 0.250


PmUFe: relaxed, PBE.

Properties
space group: F-43m
ΔH_f (0 K): 550.2 meV/atom
E above lowest polymorph: 0.000 eV/atom
E_tot: -7.567 eV per atom

a = 4.563 Å, b = 4.563 Å, c = 4.563 Å
α = 60.00°, β = 60.00°, γ = 60.00°
Atoms (fractional coordinates):
Pm 0.000 0.000 0.000
U 0.500 0.500 0.500
Fe 0.750 0.750 0.750